Record 1
LiLa2SbC | GGA-PBE | relaxed

- Calculated total energy: -5.551 eV per atom

Cell: 5.205 5.205 4.464 Å, 90.00 90.00 90.00°
Fractional coordinates of all 5 atoms:
Sb 0.500 0.500 0.500
C 0.000 0.000 0.000
Li 0.000 0.000 0.500
La 0.000 0.500 0.000
La 0.500 0.000 0.000


Record 2
ScPaNbIn | GGA-PBE | relaxed

- DFT formation energy: 0.099 eV/atom
- Calculated total energy: -7.060 eV per atom

Cell: 5.051 5.051 5.051 Å, 60.00 60.00 60.00°
Fractional coordinates of all 4 atoms:
Sc 0.250 0.250 0.250
Nb 0.000 0.000 0.000
Pa 0.750 0.750 0.750
In 0.500 0.500 0.500


Repeat the first record exactly.
LiLa2SbC | GGA-PBE | relaxed

- Calculated total energy: -5.551 eV per atom

Cell: 5.205 5.205 4.464 Å, 90.00 90.00 90.00°
Fractional coordinates of all 5 atoms:
Sb 0.500 0.500 0.500
C 0.000 0.000 0.000
Li 0.000 0.000 0.500
La 0.000 0.500 0.000
La 0.500 0.000 0.000